# LiFeNiB | OQMD | PBE | optimized geometry
# space-group type = No. 216
# energy = -89.0 eV for the cell shown
# E above lowest polymorph = 0.0 kJ per mole of atoms
# magnetization = 5.3 Bohr magnetons per cell
data_LiFeNiB
_chemical_formula_sum 'Li4 Fe4 Ni4 B4'
_cell_length_a 5.181
_cell_length_b 5.181
_cell_length_c 5.181
_cell_angle_alpha 90.00
_cell_angle_beta 90.00
_cell_angle_gamma 90.00
_symmetry_space_group_name_H-M 'P 1'
_symmetry_Int_Tables_number 1
loop_
_symmetry_equiv_pos_as_xyz
'x,y,z'
loop_
_atom_site_label
_atom_site_type_symbol
_atom_site_fract_x
_atom_site_fract_y
_atom_site_fract_z
Li1 Li 0.000 0.000 0.000
Li2 Li 0.000 0.500 0.500
Li3 Li 0.500 0.000 0.500
Li4 Li 0.500 0.500 0.000
Fe1 Fe 0.250 0.250 0.750
Fe2 Fe 0.250 0.750 0.250
Fe3 Fe 0.750 0.250 0.250
Fe4 Fe 0.750 0.750 0.750
Ni1 Ni 0.250 0.250 0.250
Ni2 Ni 0.250 0.750 0.750
Ni3 Ni 0.750 0.250 0.750
Ni4 Ni 0.750 0.750 0.250
B1 B 0.000 0.000 0.500
B2 B 0.000 0.500 0.000
B3 B 0.500 0.000 0.000
B4 B 0.500 0.500 0.500